The following is a DFT calculation (PBE with a Hubbard U) of crystalline Ni2B2PbO6 at its relaxed geometry.

Results
total magnetic moment: 3.96 μB per formula unit
calculated density: 5.03 g/cm³
final energy: -69.39 eV for the cell shown
calculated volume: 13.28 Å³ per atom

Cell: 5.164 5.164 6.326 Å, 90.00 90.00 120.00°
Positions (direct):
Ni1 0.333 0.667 0.340
Ni2 0.667 0.333 0.660
B1 0.333 0.667 0.746
B2 0.667 0.333 0.254
Pb1 0.000 0.000 0.000
O1 0.054 0.643 0.744
O2 0.357 0.411 0.744
O3 0.411 0.054 0.256
O4 0.589 0.946 0.744
O5 0.643 0.589 0.256
O6 0.946 0.357 0.256